No. 1
Computed, not measured: a crystal of LiPdI3 relaxed with PBEsol at the meta-GGA SCAN level of DFT.

The structure in CIF format:
```
data_LiPdI3
_cell_length_a 5.458
_cell_length_b 5.458
_cell_length_c 5.458
_cell_angle_alpha 90.00
_cell_angle_beta 90.00
_cell_angle_gamma 90.00
_space_group_name_H-M_alt 'P 1'
_space_group_IT_number 1
_space_group_name_Hall 'P 1'
loop_
_atom_site_label
_atom_site_fract_x
_atom_site_fract_y
_atom_site_fract_z
_atom_site_occupancy
Li1 0.000 0.000 0.000 1
Pd1 0.500 0.500 0.500 1
I1 0.000 0.500 0.500 1
I2 0.500 0.000 0.500 1
I3 0.500 0.500 0.000 1
```

N(E_F): 0.1456 states/eV per atom
Space-group type: Pm-3m, No. 221
Raw formation energy: -2.072 eV per formula unit
Total magnetic moment: 0.00 μB per formula unit


No. 2
Computed, not measured: a crystal of LiPd2I relaxed with PBEsol at the meta-GGA SCAN level of DFT.

The structure in CIF format:
```
data_LiPd2I
_cell_length_a 3.924
_cell_length_b 3.924
_cell_length_c 18.591
_cell_angle_alpha 90.00
_cell_angle_beta 90.00
_cell_angle_gamma 90.00
_space_group_name_H-M_alt 'P 1'
_space_group_IT_number 1
_space_group_name_Hall 'P 1'
loop_
_atom_site_label
_atom_site_fract_x
_atom_site_fract_y
_atom_site_fract_z
_atom_site_occupancy
Li1 0.000 0.000 0.000 1
Li2 0.000 0.500 0.250 1
Li3 0.500 0.000 0.750 1
Li4 0.500 0.500 0.500 1
Pd1 0.246 0.250 0.125 1
Pd2 0.250 0.746 0.375 1
Pd3 0.250 0.754 0.875 1
Pd4 0.254 0.250 0.625 1
Pd5 0.746 0.750 0.625 1
Pd6 0.750 0.246 0.875 1
Pd7 0.750 0.254 0.375 1
Pd8 0.754 0.750 0.125 1
I1 0.000 0.000 0.500 1
I2 0.000 0.500 0.750 1
I3 0.500 0.000 0.250 1
I4 0.500 0.500 0.000 1
```

N(E_F): 0.2513 states/eV per atom
Space-group type: I-42d, No. 122
Raw formation energy: -0.728 eV per formula unit
Total magnetic moment: 0.00 μB per formula unit


No. 3
Computed, not measured: a crystal of LiTe2PdI relaxed with PBEsol at the meta-GGA SCAN level of DFT.

The structure in CIF format:
```
data_LiTe2PdI
_cell_length_a 5.239
_cell_length_b 5.239
_cell_length_c 5.579
_cell_angle_alpha 90.00
_cell_angle_beta 90.00
_cell_angle_gamma 90.00
_space_group_name_H-M_alt 'P 1'
_space_group_IT_number 1
_space_group_name_Hall 'P 1'
loop_
_atom_site_label
_atom_site_fract_x
_atom_site_fract_y
_atom_site_fract_z
_atom_site_occupancy
Li1 0.000 0.000 0.000 1
Te1 0.000 0.500 0.500 1
Te2 0.500 0.000 0.500 1
Pd1 0.500 0.500 0.500 1
I1 0.500 0.500 0.000 1
```

N(E_F): 0.8781 states/eV per atom
Space-group type: P4/mmm, No. 123
Raw formation energy: -0.485 eV per formula unit
Total magnetic moment: 0.00 μB per formula unit


No. 4
Computed, not measured: a crystal of Rb2LiPrI6 relaxed with PBEsol at the meta-GGA SCAN level of DFT.

The structure in CIF format:
```
data_Rb2LiPrI6
_cell_length_a 8.430
_cell_length_b 8.430
_cell_length_c 8.430
_cell_angle_alpha 60.00
_cell_angle_beta 60.00
_cell_angle_gamma 60.00
_space_group_name_H-M_alt 'P 1'
_space_group_IT_number 1
_space_group_name_Hall 'P 1'
loop_
_atom_site_label
_atom_site_fract_x
_atom_site_fract_y
_atom_site_fract_z
_atom_site_occupancy
Rb1 0.250 0.250 0.250 1
Rb2 0.750 0.750 0.750 1
Li1 0.000 0.000 0.000 1
Pr1 0.500 0.500 0.500 1
I1 0.242 0.242 0.758 1
I2 0.242 0.758 0.242 1
I3 0.242 0.758 0.758 1
I4 0.758 0.242 0.242 1
I5 0.758 0.242 0.758 1
I6 0.758 0.758 0.242 1
```

N(E_F): 0.0000 states/eV per atom
Space-group type: Fm-3m, No. 225
Raw formation energy: -15.366 eV per formula unit
Total magnetic moment: 0.00 μB per formula unit


No. 5
Computed, not measured: a crystal of LiSbPtI2 relaxed with PBEsol at the meta-GGA SCAN level of DFT.

The structure in CIF format:
```
data_LiSbPtI2
_cell_length_a 5.698
_cell_length_b 5.698
_cell_length_c 5.024
_cell_angle_alpha 90.00
_cell_angle_beta 90.00
_cell_angle_gamma 90.00
_space_group_name_H-M_alt 'P 1'
_space_group_IT_number 1
_space_group_name_Hall 'P 1'
loop_
_atom_site_label
_atom_site_fract_x
_atom_site_fract_y
_atom_site_fract_z
_atom_site_occupancy
Li1 0.000 0.000 0.000 1
Sb1 0.500 0.500 0.000 1
Pt1 0.500 0.500 0.500 1
I1 0.000 0.500 0.500 1
I2 0.500 0.000 0.500 1
```

N(E_F): 0.6910 states/eV per atom
Space-group type: P4/mmm, No. 123
Raw formation energy: -0.289 eV per formula unit
Total magnetic moment: 0.46 μB per formula unit


No. 6
Computed, not measured: a crystal of LiTe2PtI relaxed with PBEsol at the meta-GGA SCAN level of DFT.

The structure in CIF format:
```
data_LiTe2PtI
_cell_length_a 5.274
_cell_length_b 5.274
_cell_length_c 5.611
_cell_angle_alpha 90.00
_cell_angle_beta 90.00
_cell_angle_gamma 90.00
_space_group_name_H-M_alt 'P 1'
_space_group_IT_number 1
_space_group_name_Hall 'P 1'
loop_
_atom_site_label
_atom_site_fract_x
_atom_site_fract_y
_atom_site_fract_z
_atom_site_occupancy
Li1 0.000 0.000 0.000 1
Te1 0.000 0.500 0.500 1
Te2 0.500 0.000 0.500 1
Pt1 0.500 0.500 0.500 1
I1 0.500 0.500 0.000 1
```

N(E_F): 1.2654 states/eV per atom
Space-group type: P4/mmm, No. 123
Raw formation energy: -0.199 eV per formula unit
Total magnetic moment: 0.00 μB per formula unit


No. 7
Computed, not measured: a crystal of RbLi2RhI relaxed with PBEsol at the meta-GGA SCAN level of DFT.

The structure in CIF format:
```
data_RbLi2RhI
_cell_length_a 4.987
_cell_length_b 4.987
_cell_length_c 5.237
_cell_angle_alpha 90.00
_cell_angle_beta 90.00
_cell_angle_gamma 90.00
_space_group_name_H-M_alt 'P 1'
_space_group_IT_number 1
_space_group_name_Hall 'P 1'
loop_
_atom_site_label
_atom_site_fract_x
_atom_site_fract_y
_atom_site_fract_z
_atom_site_occupancy
Rb1 0.000 0.000 0.000 1
Li1 0.000 0.500 0.500 1
Li2 0.500 0.000 0.500 1
Rh1 0.500 0.500 0.500 1
I1 0.500 0.500 0.000 1
```

N(E_F): 0.4182 states/eV per atom
Space-group type: P4/mmm, No. 123
Raw formation energy: -1.170 eV per formula unit
Total magnetic moment: 0.00 μB per formula unit


No. 8
Computed, not measured: a crystal of LiRe3I relaxed with PBEsol at the meta-GGA SCAN level of DFT.

The structure in CIF format:
```
data_LiRe3I
_cell_length_a 4.257
_cell_length_b 4.257
_cell_length_c 4.257
_cell_angle_alpha 90.00
_cell_angle_beta 90.00
_cell_angle_gamma 90.00
_space_group_name_H-M_alt 'P 1'
_space_group_IT_number 1
_space_group_name_Hall 'P 1'
loop_
_atom_site_label
_atom_site_fract_x
_atom_site_fract_y
_atom_site_fract_z
_atom_site_occupancy
Li1 0.000 0.000 0.000 1
Re1 0.000 0.000 0.500 1
Re2 0.000 0.500 0.000 1
Re3 0.500 0.000 0.000 1
I1 0.500 0.500 0.500 1
```

N(E_F): 1.2549 states/eV per atom
Space-group type: Pm-3m, No. 221
Raw formation energy: 11.036 eV per formula unit
Total magnetic moment: 0.00 μB per formula unit


No. 9
Computed, not measured: a crystal of LiRe3I relaxed with PBEsol at the meta-GGA SCAN level of DFT.

The structure in CIF format:
```
data_LiRe3I
_cell_length_a 4.800
_cell_length_b 4.800
_cell_length_c 4.800
_cell_angle_alpha 90.00
_cell_angle_beta 90.00
_cell_angle_gamma 90.00
_space_group_name_H-M_alt 'P 1'
_space_group_IT_number 1
_space_group_name_Hall 'P 1'
loop_
_atom_site_label
_atom_site_fract_x
_atom_site_fract_y
_atom_site_fract_z
_atom_site_occupancy
Li1 0.000 0.000 0.000 1
Re1 0.000 0.500 0.500 1
Re2 0.500 0.000 0.500 1
Re3 0.500 0.500 0.000 1
I1 0.500 0.500 0.500 1
```

N(E_F): 0.4786 states/eV per atom
Space-group type: Pm-3m, No. 221
Raw formation energy: 13.946 eV per formula unit
Total magnetic moment: 2.15 μB per formula unit


No. 10
Computed, not measured: a crystal of LiZr2ReI relaxed with PBEsol at the meta-GGA SCAN level of DFT.

The structure in CIF format:
```
data_LiZr2ReI
_cell_length_a 4.958
_cell_length_b 4.958
_cell_length_c 5.159
_cell_angle_alpha 90.00
_cell_angle_beta 90.00
_cell_angle_gamma 90.00
_space_group_name_H-M_alt 'P 1'
_space_group_IT_number 1
_space_group_name_Hall 'P 1'
loop_
_atom_site_label
_atom_site_fract_x
_atom_site_fract_y
_atom_site_fract_z
_atom_site_occupancy
Li1 0.000 0.000 0.000 1
Zr1 0.000 0.500 0.500 1
Zr2 0.500 0.000 0.500 1
Re1 0.000 0.000 0.500 1
I1 0.500 0.500 0.000 1
```

N(E_F): 1.1558 states/eV per atom
Space-group type: P4/mmm, No. 123
Raw formation energy: 2.558 eV per formula unit
Total magnetic moment: 0.00 μB per formula unit


No. 11
Computed, not measured: a crystal of LiRh3I relaxed with PBEsol at the meta-GGA SCAN level of DFT.

The structure in CIF format:
```
data_LiRh3I
_cell_length_a 4.234
_cell_length_b 4.234
_cell_length_c 4.234
_cell_angle_alpha 90.00
_cell_angle_beta 90.00
_cell_angle_gamma 90.00
_space_group_name_H-M_alt 'P 1'
_space_group_IT_number 1
_space_group_name_Hall 'P 1'
loop_
_atom_site_label
_atom_site_fract_x
_atom_site_fract_y
_atom_site_fract_z
_atom_site_occupancy
Li1 0.000 0.000 0.000 1
Rh1 0.000 0.000 0.500 1
Rh2 0.000 0.500 0.000 1
Rh3 0.500 0.000 0.000 1
I1 0.500 0.500 0.500 1
```

N(E_F): 0.5443 states/eV per atom
Space-group type: Pm-3m, No. 221
Raw formation energy: 4.300 eV per formula unit
Total magnetic moment: 2.65 μB per formula unit


No. 12
Computed, not measured: a crystal of Li3RuI relaxed with PBEsol at the meta-GGA SCAN level of DFT.

The structure in CIF format:
```
data_Li3RuI
_cell_length_a 4.903
_cell_length_b 4.903
_cell_length_c 4.903
_cell_angle_alpha 90.00
_cell_angle_beta 90.00
_cell_angle_gamma 90.00
_space_group_name_H-M_alt 'P 1'
_space_group_IT_number 1
_space_group_name_Hall 'P 1'
loop_
_atom_site_label
_atom_site_fract_x
_atom_site_fract_y
_atom_site_fract_z
_atom_site_occupancy
Li1 0.000 0.000 0.500 1
Li2 0.000 0.500 0.000 1
Li3 0.500 0.000 0.000 1
Ru1 0.000 0.000 0.000 1
I1 0.500 0.500 0.500 1
```

N(E_F): 0.7247 states/eV per atom
Space-group type: Pm-3m, No. 221
Raw formation energy: 2.169 eV per formula unit
Total magnetic moment: 2.00 μB per formula unit


No. 13
Computed, not measured: a crystal of LiSb2RuI relaxed with PBEsol at the meta-GGA SCAN level of DFT.

The structure in CIF format:
```
data_LiSb2RuI
_cell_length_a 4.683
_cell_length_b 4.683
_cell_length_c 5.060
_cell_angle_alpha 90.00
_cell_angle_beta 90.00
_cell_angle_gamma 90.00
_space_group_name_H-M_alt 'P 1'
_space_group_IT_number 1
_space_group_name_Hall 'P 1'
loop_
_atom_site_label
_atom_site_fract_x
_atom_site_fract_y
_atom_site_fract_z
_atom_site_occupancy
Li1 0.000 0.000 0.000 1
Sb1 0.000 0.500 0.000 1
Sb2 0.500 0.000 0.000 1
Ru1 0.500 0.500 0.500 1
I1 0.000 0.000 0.500 1
```

N(E_F): 0.4824 states/eV per atom
Space-group type: P4/mmm, No. 123
Raw formation energy: 5.108 eV per formula unit
Total magnetic moment: 1.81 μB per formula unit